(1)
Here is a relaxed structure of LaTh2Ge from Alexandria via LeMat-Bulk. Energies are from PBE.

The calculation puts the density of states at the Fermi level at 3.88 states/eV/cell. The energy of formation from the pure elements is -0.18 eV per atom. Its space-group type is Cm.

Cell lengths 3.9743, 3.9743, 9.8426 Å; angles 101.69, 101.69, 60.03 degrees
With the nearest neighbours (Å) after each atom.
Positions (direct):
La1 0.0000 0.0000 0.0000  6 Th 3.70-3.75, 6 La 3.97-3.98
Th1 0.2300 0.2300 0.6902  3 Ge 2.95
Th2 0.4338 0.4338 0.3038  3 Ge 2.94
Ge1 0.8318 0.8318 0.4965  6 Th 2.94-2.95

***

(2)
Here is a relaxed structure of CaMg2Ag from Alexandria via LeMat-Bulk. Energies are from PBE.

The calculation puts the density of states at the Fermi level at 6.05 states/eV/cell. The energy of formation from the pure elements is -0.17 eV per atom. Its space-group type is P4/nmm.

Cell lengths 4.2499, 4.2499, 11.2548 Å; angles 90.00, 90.00, 90.00 degrees
With the nearest neighbours (Å) after each atom.
Positions (direct):
Ca1 0.2500 0.2500 0.2387  4 Ag 3.17, 1 Mg 3.45
Ca2 0.7500 0.7500 0.7613  4 Ag 3.17, 1 Mg 3.45
Mg1 0.2500 0.2500 0.9317  1 Ag 2.92
Mg2 0.2500 0.7500 0.5000  4 Ag 2.87, 4 Mg 3.01
Mg3 0.7500 0.2500 0.5000  4 Ag 2.87, 4 Mg 3.01
Mg4 0.7500 0.7500 0.0683  1 Ag 2.92
Ag1 0.2500 0.2500 0.6720  5 Mg 2.87-2.92, 4 Ca 3.17
Ag2 0.7500 0.7500 0.3280  5 Mg 2.87-2.92, 4 Ca 3.17

***

(3)
Here is a relaxed structure of LiDyCd2 from Alexandria via LeMat-Bulk. Energies are from PBE.

The calculation puts the density of states at the Fermi level at 2.17 states/eV/cell. The energy of formation from the pure elements is -0.23 eV per atom. Its space-group type is P4/mmm.

Cell lengths 5.2588, 5.2588, 3.4565 Å; angles 90.00, 90.00, 90.00 degrees
With the nearest neighbours (Å) after each atom.
Positions (direct):
Li1 0.0000 0.0000 0.0000  8 Cd 3.15, 2 Li 3.46
Dy1 0.5000 0.5000 0.0000  8 Cd 3.15, 2 Dy 3.46
Cd1 0.0000 0.5000 0.5000  4 Dy 3.15, 4 Li 3.15, 2 Cd 3.46
Cd2 0.5000 0.0000 0.5000  4 Dy 3.15, 4 Li 3.15, 2 Cd 3.46

***

(4)
Here is a relaxed structure of VRh from Alexandria via LeMat-Bulk. Energies are from PBE.

The calculation puts the density of states at the Fermi level at 3.48 states/eV/cell. The energy of formation from the pure elements is -0.24 eV per atom. Its space-group type is Pmmn.

Cell lengths 2.6818, 4.3743, 4.7446 Å; angles 90.00, 90.00, 90.00 degrees
With the nearest neighbours (Å) after each atom.
Positions (direct):
V1 0.2500 0.2500 0.1211  6 Rh 2.51-2.73, 2 V 2.68
V2 0.7500 0.7500 0.8789  6 Rh 2.51-2.73, 2 V 2.68
Rh1 0.2500 0.7500 0.3788  6 V 2.51-2.73, 2 Rh 2.68
Rh2 0.7500 0.2500 0.6212  6 V 2.51-2.73, 2 Rh 2.68

***

(5)
Here is a relaxed structure of La8C3I4N from Alexandria via LeMat-Bulk. Energies are from PBE.

The calculation puts the density of states at the Fermi level at 8.16 states/eV/cell. Its electronic total energy is -95.48 eV for the cell shown. Its space-group type is C2/m.

Cell lengths 7.8620, 7.8620, 9.1947 Å; angles 115.37, 115.37, 59.92 degrees
With the nearest neighbours (Å) after each atom.
Positions (direct):
La1 0.2230 0.2230 0.6729  1 N 2.64, 2 C 2.66
La2 0.2228 0.7274 0.6727  1 N 2.64, 2 C 2.66-2.67
La3 0.2726 0.7772 0.3273  1 N 2.64, 2 C 2.66-2.67
La4 0.2749 0.2749 0.3251  3 C 2.66-2.67
La5 0.7251 0.7251 0.6749  3 C 2.66-2.67
La6 0.7274 0.2228 0.6727  1 N 2.64, 2 C 2.66-2.67
La7 0.7772 0.2726 0.3273  1 N 2.64, 2 C 2.66-2.67
La8 0.7770 0.7770 0.3271  1 N 2.64, 2 C 2.66
C1 0.0000 0.5000 0.5000  6 La 2.66-2.67
C2 0.5000 0.0000 0.5000  6 La 2.66-2.67
C3 0.5000 0.5000 0.5000  6 La 2.66-2.67
I1 0.0000 0.0000 0.0000  6 La 3.45-3.46
I2 0.0000 0.5000 0.0000  6 La 3.45-3.46
I3 0.5000 0.0000 0.0000  6 La 3.45-3.46
I4 0.5000 0.5000 0.0000  6 La 3.47-3.48
N1 0.0000 0.0000 0.5000  6 La 2.64

***

(6)
Here is a relaxed structure of Y2GaFeMo from Alexandria via LeMat-Bulk. Energies are from PBE.

The calculation puts the density of states at the Fermi level at 6.24 states/eV/cell. The energy of formation from the pure elements is 0.32 eV per atom. Its space-group type is P4/mmm.

Cell lengths 5.2077, 5.2077, 4.4355 Å; angles 90.00, 90.00, 90.00 degrees
With the nearest neighbours (Å) after each atom.
Positions (direct):
Y1 0.0000 0.5000 0.0000  2 Fe 2.60
Y2 0.5000 0.0000 0.0000  2 Fe 2.60
Ga1 0.0000 0.0000 0.5000  8 Y 3.42, 4 Mo 3.68
Fe1 0.5000 0.5000 0.0000  2 Mo 2.22
Mo1 0.5000 0.5000 0.5000  2 Fe 2.22

***

Number 1: magnetic moment 0.00 Bohr magnetons per cell. Number 2: magnetic moment 0.00 Bohr magnetons per cell. Number 3: magnetic moment 0.00 Bohr magnetons per cell. Number 4: magnetic moment 0.00 Bohr magnetons per cell. Number 5: magnetic moment 0.00 Bohr magnetons per cell. Number 6: magnetic moment 0.00 Bohr magnetons per cell.